Record 1
The following is a DFT calculation (PBE-GGA) of crystalline RbCdN3 at its relaxed geometry.

Unit cell a=4.514 b=4.514 c=4.514 alpha=90.00 beta=90.00 gamma=90.00
Space group Pm-3m (No. 221)
Asymmetric unit:
Rb 0.000 0.000 0.000 x1
Cd 0.500 0.500 0.500 x1
N 0.000 0.500 0.500 x3

The calculation puts the total magnetization at 5.44 μB/f.u. For the density of states at the Fermi level, the calculation gives 3.9 states/eV/cell. As for the crystal system: cubic.



Record 2
The following is a DFT calculation (PBE-GGA) of crystalline SiTe2As at its relaxed geometry.

Unit cell a=4.784 b=3.953 c=5.900 alpha=90.00 beta=113.23 gamma=90.00
Space group Pm (No. 6)
Asymmetric unit:
Si 0.000 0.000 0.000 x1
Te 0.208 0.500 0.746 x1
Te 0.484 0.000 0.412 x1
As 0.740 0.500 0.128 x1

Its excess energy over the best structure of this formula in the dataset is 29 meV/atom. The calculation puts the total magnetization at 0.00 μB/f.u. For the density of states at the Fermi level, the calculation gives 1.7 states/eV/cell. As for the crystal system: monoclinic.



Record 3
The following is a DFT calculation (PBE-GGA) of crystalline CsAuBr4 at its relaxed geometry.

Unit cell a=5.516 b=19.947 c=7.722 alpha=90.00 beta=90.00 gamma=90.00
Space group Cmcm (No. 63)
Asymmetric unit:
Cs 0.000 0.111 0.250 x4
Au 0.000 0.406 0.250 x4
Br 0.000 0.090 0.750 x4
Br 0.000 0.317 0.011 x8
Br 0.000 0.500 0.000 x4

The calculation puts the total magnetization at 0.00 μB/f.u. For the density of states at the Fermi level, the calculation gives 15.0 states/eV/cell. As for the crystal system: orthorhombic.



Computed raw formation energy, in the same sequence as the records: 1.87 0.16 -0.64 eV per atom.